1.
The following is a PBE-GGA calculation of LaSn2Ir after structural relaxation, from the Alexandria database.

Unit cell a=4.676 b=9.739 c=10.242 alpha=118.39 beta=103.20 gamma=90.00
Fractional coordinates of all 16 atoms:
Sn 0.301 0.641 0.602
Sn 0.081 0.581 0.161
Ir 0.854 0.602 0.708
Ir 0.146 0.398 0.292
La 0.500 0.265 0.000
Sn 0.916 0.916 0.833
Ir 0.146 0.895 0.292
Sn 0.084 0.084 0.167
Sn 0.919 0.419 0.839
Sn 0.699 0.039 0.398
La 0.292 0.292 0.584
La 0.500 0.735 0.000
La 0.708 0.708 0.416
Sn 0.699 0.359 0.398
Sn 0.301 0.961 0.602
Ir 0.854 0.105 0.708

Properties
Crystal system: orthorhombic
E_form: -0.71 eV per atom

---

2.
The following is a PBE-GGA calculation of Y3MgBi after structural relaxation, from the Alexandria database.

Unit cell a=5.797 b=5.797 c=5.797 alpha=90.00 beta=90.00 gamma=90.00
Fractional coordinates of all 5 atoms:
Bi 0.000 0.000 0.000
Y 0.500 0.000 0.000
Mg 0.500 0.500 0.500
Y 0.000 0.500 0.000
Y 0.000 0.000 0.500

Properties
Crystal system: cubic
Relative energy among the computed polymorphs: 0.0000 eV per atom
E_form: 0.22 eV per atom

---

3.
The following is a PBE-GGA calculation of Y9Lu3Al20O48 after structural relaxation, from the Alexandria database.

Unit cell a=10.464 b=10.467 c=10.467 alpha=70.51 beta=70.46 gamma=109.40
Fractional coordinates of all 80 atoms:
Al 0.751 0.499 0.250
O 0.848 0.179 0.770
Lu 0.126 0.750 0.625
O 0.350 0.622 0.828
Y 0.000 0.125 0.875
Al 0.000 0.875 0.125
Al 0.877 0.750 0.874
O 0.050 0.882 0.270
Al 0.376 0.875 0.999
O 0.450 0.118 0.231
Y 0.875 0.875 0.500
Al 0.125 0.125 0.500
O 0.665 0.820 0.453
Al 0.624 0.625 0.500
Al 0.500 0.124 0.376
Al 0.374 0.750 0.377
Al 0.500 0.626 0.874
O 0.230 0.680 0.152
O 0.170 0.118 0.651
Al 0.000 0.375 0.625
O 0.873 0.700 0.727
Al 0.875 0.375 0.000
Al 0.123 0.250 0.127
O 0.571 0.920 0.949
O 0.731 0.598 0.070
Y 0.375 0.250 0.875
Y 0.625 0.750 0.125
O 0.570 0.901 0.231
Al 0.250 0.502 0.749
O 0.927 0.100 0.273
Y 0.625 0.125 0.000
Y 0.125 0.625 0.999
Al 0.626 0.249 0.624
Al 0.752 0.501 0.749
O 0.831 0.901 0.867
Al 0.248 0.499 0.251
O 0.349 0.976 0.572
O 0.169 0.302 0.930
O 0.152 0.019 0.929
O 0.368 0.019 0.052
Al 0.749 0.000 0.252
O 0.830 0.179 0.052
Lu 0.874 0.249 0.376
O 0.950 0.679 0.168
O 0.227 0.800 0.373
O 0.952 0.522 0.631
O 0.073 0.800 0.827
O 0.367 0.599 0.332
O 0.633 0.301 0.769
O 0.868 0.416 0.153
O 0.848 0.919 0.133
Y 0.000 0.625 0.375
O 0.048 0.417 0.430
O 0.730 0.381 0.949
O 0.152 0.382 0.669
O 0.070 0.522 0.846
O 0.930 0.084 0.548
O 0.632 0.581 0.349
O 0.132 0.978 0.453
O 0.551 0.481 0.867
O 0.269 0.199 0.133
O 0.671 0.098 0.627
Al 0.750 0.001 0.748
O 0.335 0.882 0.846
Lu 0.500 0.875 0.625
O 0.429 0.480 0.652
O 0.773 0.399 0.428
O 0.550 0.320 0.332
O 0.127 0.400 0.173
Al 0.249 0.999 0.252
O 0.430 0.199 0.668
Al 0.251 0.999 0.749
O 0.270 0.321 0.348
O 0.770 0.618 0.550
O 0.449 0.581 0.070
O 0.329 0.702 0.572
Y 0.375 0.375 0.500
O 0.650 0.822 0.727
O 0.651 0.079 0.373
Y 0.500 0.375 0.125

Properties
Formation energy without anion corrections: -261.91 eV per formula unit
Crystal system: monoclinic

---

4.
The following is a PBE-GGA calculation of ErNi4B4 after structural relaxation, from the Alexandria database.

Unit cell a=5.035 b=5.035 c=7.027 alpha=90.00 beta=90.00 gamma=90.00
Fractional coordinates of all 18 atoms:
Ni 0.000 0.250 0.365
B 0.329 0.000 0.340
Ni 0.750 0.000 0.635
B 0.000 0.329 0.660
B 0.500 0.829 0.840
B 0.000 0.671 0.660
B 0.171 0.500 0.160
B 0.500 0.171 0.840
B 0.829 0.500 0.160
Ni 0.250 0.000 0.635
Ni 0.250 0.500 0.865
Er 0.500 0.500 0.500
Ni 0.000 0.750 0.365
Ni 0.500 0.250 0.135
Ni 0.500 0.750 0.135
Ni 0.750 0.500 0.865
Er 0.000 0.000 0.000
B 0.671 0.000 0.340

Properties
Crystal system: tetragonal
Relative energy among the computed polymorphs: 0.0000 eV per atom
E_form: -0.44 eV per atom

---

5.
The following is a PBE-GGA calculation of Pm4Dy3Er3 after structural relaxation, from the Alexandria database.

Unit cell a=3.789 b=9.280 c=9.280 alpha=89.93 beta=90.00 gamma=90.00
Fractional coordinates of all 10 atoms:
Pm 0.000 0.370 0.630
Pm 0.000 0.630 0.370
Pm 0.000 0.869 0.870
Dy 0.000 0.501 0.001
Dy 0.000 0.999 0.499
Er 0.500 0.331 0.331
Dy 0.500 0.169 0.831
Er 0.500 0.831 0.169
Pm 0.000 0.130 0.131
Er 0.500 0.669 0.669

Properties
Crystal system: orthorhombic
E_form: 0.10 eV per atom

---

6.
The following is a PBE-GGA calculation of AcPm2HoEr after structural relaxation, from the Alexandria database.

Unit cell a=7.349 b=8.503 c=7.369 alpha=125.24 beta=90.00 gamma=90.00
Fractional coordinates of all 10 atoms:
Ho 0.750 0.963 0.927
Er 0.750 0.701 0.402
Pm 0.000 0.694 0.000
Ho 0.250 0.037 0.073
Ac 0.250 0.750 0.500
Ac 0.750 0.250 0.500
Pm 0.000 0.306 0.000
Pm 0.500 0.694 0.000
Er 0.250 0.299 0.598
Pm 0.500 0.306 0.000

Properties
Crystal system: orthorhombic
E_form: 0.35 eV per atom

---

7.
The following is a PBE-GGA calculation of YMoPt2 after structural relaxation, from the Alexandria database.

Unit cell a=2.948 b=2.948 c=8.157 alpha=90.00 beta=90.00 gamma=90.00
Fractional coordinates of all 4 atoms:
Pt 0.000 0.000 0.522
Pt 0.000 0.000 0.978
Mo 0.500 0.500 0.750
Y 0.500 0.500 0.250

Properties
Crystal system: tetragonal
Relative energy among the computed polymorphs: 0.0145 eV per atom
E_form: -0.46 eV per atom

---

8.
The following is a PBE-GGA calculation of Ti3TeS after structural relaxation, from the Alexandria database.

Unit cell a=4.544 b=4.544 c=4.544 alpha=90.00 beta=90.00 gamma=90.00
Fractional coordinates of all 5 atoms:
S 0.000 0.000 0.000
Ti 0.000 0.500 0.000
Te 0.500 0.500 0.500
Ti 0.500 0.000 0.000
Ti 0.000 0.000 0.500

Properties
Formation energy without anion corrections: -2.11 eV per formula unit
Crystal system: cubic
Relative energy among the computed polymorphs: 0.2427 eV per atom

---

9.
The following is a PBE-GGA calculation of Ac2DyMg after structural relaxation, from the Alexandria database.

Unit cell a=3.742 b=3.742 c=13.217 alpha=81.86 beta=81.86 gamma=60.00
Fractional coordinates of all 4 atoms:
Ac 0.910 0.910 0.271
Ac 0.090 0.090 0.729
Mg 0.000 0.000 0.000
Dy 0.500 0.500 0.500

Properties
Crystal system: trigonal
Relative energy among the computed polymorphs: 0.2527 eV per atom
E_form: 0.25 eV per atom

---

10.
The following is a PBE-GGA calculation of PrP2O6 after structural relaxation, from the Alexandria database.

Unit cell a=6.098 b=6.971 c=6.971 alpha=76.80 beta=68.77 gamma=68.77
Fractional coordinates of all 18 atoms:
P 0.310 0.644 0.764
O 0.335 0.077 0.194
P 0.190 0.236 0.356
Pr 0.750 0.837 0.163
P 0.690 0.356 0.236
O 0.101 0.141 0.578
O 0.899 0.859 0.422
O 0.538 0.711 0.601
O 0.835 0.194 0.077
O 0.165 0.806 0.923
O 0.665 0.923 0.806
Pr 0.250 0.163 0.837
O 0.462 0.289 0.399
O 0.399 0.422 0.859
O 0.962 0.399 0.289
P 0.810 0.764 0.644
O 0.601 0.578 0.141
O 0.038 0.601 0.711

Properties
Formation energy without anion corrections: -20.67 eV per formula unit
Crystal system: monoclinic

---

11.
The following is a PBE-GGA calculation of MoP3I after structural relaxation, from the Alexandria database.

Unit cell a=5.014 b=5.014 c=5.014 alpha=90.00 beta=90.00 gamma=90.00
Fractional coordinates of all 5 atoms:
Mo 0.500 0.500 0.500
I 0.000 0.000 0.000
P 0.000 0.000 0.500
P 0.500 0.000 0.000
P 0.000 0.500 0.000

Properties
Formation energy without anion corrections: 10.09 eV per formula unit
Crystal system: cubic
Relative energy among the computed polymorphs: 1.5584 eV per atom

---

12.
The following is a PBE-GGA calculation of PrDy5Sc4 after structural relaxation, from the Alexandria database.

Unit cell a=5.388 b=11.170 c=10.166 alpha=90.00 beta=90.00 gamma=90.00
Fractional coordinates of all 20 atoms:
Sc 0.250 0.694 0.500
Dy 0.250 0.202 0.200
Sc 0.751 0.000 0.753
Sc 0.250 0.306 0.500
Dy 0.250 0.202 0.800
Sc 0.750 0.806 0.000
Sc 0.249 0.500 0.253
Dy 0.252 0.000 0.500
Sc 0.750 0.194 0.000
Dy 0.250 0.798 0.200
Dy 0.250 0.798 0.800
Dy 0.748 0.500 0.000
Sc 0.751 0.000 0.247
Pr 0.251 0.000 0.000
Dy 0.750 0.298 0.300
Sc 0.249 0.500 0.747
Pr 0.749 0.500 0.500
Dy 0.750 0.298 0.700
Dy 0.750 0.702 0.700
Dy 0.750 0.702 0.300

Properties
Crystal system: orthorhombic
Relative energy among the computed polymorphs: 0.0000 eV per atom
E_form: 0.28 eV per atom

---

13.
The following is a PBE-GGA calculation of CuMoSe3 after structural relaxation, from the Alexandria database.

Unit cell a=4.934 b=4.934 c=4.934 alpha=90.00 beta=90.00 gamma=90.00
Fractional coordinates of all 5 atoms:
Cu 0.500 0.500 0.500
Mo 0.000 0.000 0.000
Se 0.500 0.000 0.000
Se 0.000 0.000 0.500
Se 0.000 0.500 0.000

Properties
Formation energy without anion corrections: 2.49 eV per formula unit
Crystal system: cubic
Relative energy among the computed polymorphs: 0.0000 eV per atom

---

14.
The following is a PBE-GGA calculation of Fe3B after structural relaxation, from the Alexandria database.

Unit cell a=2.876 b=4.342 c=6.608 alpha=90.00 beta=90.00 gamma=109.34
Fractional coordinates of all 8 atoms:
B 0.262 0.524 0.250
B 0.738 0.476 0.750
Fe 0.858 0.716 0.057
Fe 0.858 0.716 0.443
Fe 0.562 0.124 0.250
Fe 0.438 0.876 0.750
Fe 0.142 0.284 0.557
Fe 0.142 0.284 0.943

Properties
Crystal system: orthorhombic
E_form: -0.21 eV per atom

---

15.
The following is a PBE-GGA calculation of HoTi2Ru3 after structural relaxation, from the Alexandria database.

Unit cell a=3.157 b=3.157 c=9.721 alpha=90.00 beta=90.00 gamma=90.00
Fractional coordinates of all 6 atoms:
Ru 0.000 0.000 0.000
Ti 0.500 0.500 0.159
Ho 0.500 0.500 0.500
Ru 0.000 0.000 0.306
Ti 0.500 0.500 0.841
Ru 0.000 0.000 0.694

Properties
Crystal system: tetragonal
E_form: -0.60 eV per atom

---

16.
The following is a PBE-GGA calculation of Ag7Hg2Au3 after structural relaxation, from the Alexandria database.

Unit cell a=2.928 b=4.984 c=17.331 alpha=80.07 beta=90.00 gamma=90.00
Fractional coordinates of all 12 atoms:
Ag 0.000 0.000 0.000
Hg 0.500 0.372 0.717
Ag 0.500 0.131 0.570
Ag 0.000 0.578 0.140
Au 0.000 0.367 0.425
Au 0.000 0.633 0.575
Ag 0.500 0.079 0.145
Ag 0.000 0.422 0.860
Ag 0.500 0.869 0.430
Au 0.500 0.500 0.000
Ag 0.500 0.921 0.855
Hg 0.500 0.628 0.283

Properties
Crystal system: monoclinic
E_form: 0.06 eV per atom